Run i
TlSn3S: optimized geometry, PBE.

It has space group Pm-3m (No. 221), with a = 5.710 Å, b = 5.710 Å, c = 5.710 Å, α = 90.00°, β = 90.00° and γ = 90.00°. Symmetry generates all atoms from Tl at (0.000, 0.000, 0.000), Sn at (0.000, 0.000, 0.500) and S at (0.500, 0.500, 0.500).


Run ii
TlSn3S: optimized geometry, PBE.

It has space group Pm-3m (No. 221), with a = 5.407 Å, b = 5.407 Å, c = 5.407 Å, α = 90.00°, β = 90.00° and γ = 90.00°. Symmetry generates all atoms from Tl at (0.000, 0.000, 0.000), Sn at (0.000, 0.500, 0.500) and S at (0.500, 0.500, 0.500).


Stability summary: most stable run ii, least stable run i.


Run i
TlSn3S6: optimized geometry, PBE.

It has space group P2_1/m (No. 11), with a = 11.926 Å, b = 3.748 Å, c = 13.534 Å, α = 90.00°, β = 105.20° and γ = 90.00°. Symmetry generates all atoms from Tl at (0.136, 0.250, 0.416), Sn at (0.075, 0.750, 0.917), Sn at (0.214, 0.250, 0.738), Sn at (0.496, 0.750, 0.621), S at (0.008, 0.250, 0.780), S at (0.133, 0.250, 0.054), S at (0.144, 0.750, 0.607), S at (0.275, 0.750, 0.878), S at (0.365, 0.750, 0.438) and S at (0.430, 0.250, 0.730).


Run ii
TlSn3S6: optimized geometry, PBE.

It has space group P2_1/m (No. 11), with a = 11.082 Å, b = 3.722 Å, c = 12.202 Å, α = 90.00°, β = 102.27° and γ = 90.00°. Symmetry generates all atoms from Tl at (0.046, 0.250, 0.185), Sn at (0.144, 0.250, 0.573), Sn at (0.357, 0.750, 0.047), Sn at (0.464, 0.250, 0.345), S at (0.088, 0.750, 0.416), S at (0.194, 0.750, 0.711), S at (0.207, 0.250, 0.972), S at (0.304, 0.750, 0.246), S at (0.377, 0.250, 0.536) and S at (0.476, 0.750, 0.874).


Stability summary: most stable run i, least stable run ii.


Run i
V2SnS: optimized geometry, PBE.

It has space group Fm-3m (No. 225), with a = 6.301 Å, b = 6.301 Å, c = 6.301 Å, α = 90.00°, β = 90.00° and γ = 90.00°. Symmetry generates all atoms from V at (0.250, 0.250, 0.250), Sn at (0.000, 0.000, 0.000) and S at (0.000, 0.000, 0.500).


Run ii
V2SnS: optimized geometry, PBE.

It has space group R-3m (No. 166, hexagonal axes), with a = 3.3688 Å, b = 3.3688 Å, c = 20.1024 Å, α = 90.00°, β = 90.00° and γ = 120.00°. Symmetry generates all atoms from V at (0.0000, 0.0000, 0.2237), Sn at (0.0000, 0.0000, 0.0000) and S at (0.0000, 0.0000, 0.5000).


Stability summary: most stable run ii, least stable run i.


Run i
VSn3S: optimized geometry, PBE.

It has space group Pm-3m (No. 221), with a = 5.208 Å, b = 5.208 Å, c = 5.208 Å, α = 90.00°, β = 90.00° and γ = 90.00°. Symmetry generates all atoms from V at (0.000, 0.000, 0.000), Sn at (0.000, 0.500, 0.500) and S at (0.500, 0.500, 0.500).


Run ii
VSn3S: optimized geometry, PBE.

It has space group Pm-3m (No. 221), with a = 5.161 Å, b = 5.161 Å, c = 5.161 Å, α = 90.00°, β = 90.00° and γ = 90.00°. Symmetry generates all atoms from V at (0.000, 0.000, 0.000), Sn at (0.000, 0.000, 0.500) and S at (0.500, 0.500, 0.500).


Stability summary: most stable run ii, least stable run i.


Run i
Sn2WS2: optimized geometry, PBE.

It has space group I4/mmm (No. 139), with a = 3.769 Å, b = 3.769 Å, c = 15.996 Å, α = 90.00°, β = 90.00° and γ = 90.00°. Symmetry generates all atoms from Sn at (0.000, 0.500, 0.250), W at (0.000, 0.000, 0.000) and S at (0.000, 0.000, 0.417).


Run ii
Sn2WS2: optimized geometry, PBE.

It has space group P4/mbm (No. 127), with a = 6.327 Å, b = 6.327 Å, c = 5.714 Å, α = 90.00°, β = 90.00° and γ = 90.00°. Symmetry generates all atoms from Sn at (0.221, 0.279, 0.000), W at (0.000, 0.000, 0.500) and S at (0.174, 0.326, 0.500).


Stability summary: most stable run ii, least stable run i.


Run i
SnW2S: optimized geometry, PBE.

It has space group I-42d (No. 122), with a = 4.236 Å, b = 4.236 Å, c = 17.349 Å, α = 90.00°, β = 90.00° and γ = 90.00°. Symmetry generates all atoms from Sn at (0.000, 0.000, 0.000), W at (0.174, 0.250, 0.625) and S at (0.000, 0.000, 0.500).


Run ii
SnW2S: optimized geometry, PBE.

It has space group Fm-3m (No. 225), with a = 6.407 Å, b = 6.407 Å, c = 6.407 Å, α = 90.00°, β = 90.00° and γ = 90.00°. Symmetry generates all atoms from Sn at (0.000, 0.000, 0.000), W at (0.250, 0.250, 0.250) and S at (0.000, 0.000, 0.500).


Stability summary: most stable run i, least stable run ii.


Run i
SnW3S: optimized geometry, PBE.

It has space group Pm-3m (No. 221), with a = 4.468 Å, b = 4.468 Å, c = 4.468 Å, α = 90.00°, β = 90.00° and γ = 90.00°. Symmetry generates all atoms from Sn at (0.000, 0.000, 0.000), W at (0.000, 0.500, 0.500) and S at (0.500, 0.500, 0.500).


Run ii
SnW3S: optimized geometry, PBE.

It has space group Pm-3m (No. 221), with a = 4.933 Å, b = 4.933 Å, c = 4.933 Å, α = 90.00°, β = 90.00° and γ = 90.00°. Symmetry generates all atoms from Sn at (0.000, 0.000, 0.000), W at (0.000, 0.000, 0.500) and S at (0.500, 0.500, 0.500).


Stability summary: most stable run i, least stable run ii.


Run i
SnWS3: optimized geometry, PBE.

It has space group Pm-3m (No. 221), with a = 4.731 Å, b = 4.731 Å, c = 4.731 Å, α = 90.00°, β = 90.00° and γ = 90.00°. Symmetry generates all atoms from Sn at (0.000, 0.000, 0.000), W at (0.500, 0.500, 0.500) and S at (0.000, 0.500, 0.500).


Run ii
SnWS3: optimized geometry, PBE.

It has space group Pm-3m (No. 221), with a = 4.890 Å, b = 4.890 Å, c = 4.890 Å, α = 90.00°, β = 90.00° and γ = 90.00°. Symmetry generates all atoms from Sn at (0.000, 0.000, 0.000), W at (0.500, 0.500, 0.500) and S at (0.000, 0.000, 0.500).


Stability summary: most stable run i, least stable run ii.